(A)
The following is a DFT calculation (PBE) of an optimized crystal structure of TcIr2Pd2.

Structure (POSCAR):
```
TcIr2Pd2
1.0
6.449 0.000 0.000
0.000 6.449 0.000
0.000 0.000 3.917
Pd Ir Tc
4 4 2
Direct
0.835 0.335 0.500 Pd
0.165 0.665 0.500 Pd
0.335 0.165 0.500 Pd
0.665 0.835 0.500 Pd
0.135 0.365 0.000 Ir
0.635 0.135 0.000 Ir
0.865 0.635 0.000 Ir
0.365 0.865 0.000 Ir
0.500 0.500 0.000 Tc
0.000 0.000 0.000 Tc
```

(B)
The following is a DFT calculation (PBE) of an optimized crystal structure of TcIr2Pd2.

Structure (POSCAR):
```
TcIr2Pd2
1.0
3.593 0.000 0.000
0.000 3.593 0.000
1.796 1.796 6.375
Ir Tc Pd
2 1 2
Direct
0.595 0.595 0.810 Ir
0.405 0.405 0.190 Ir
0.000 0.000 0.000 Tc
0.250 0.750 0.500 Pd
0.750 0.250 0.500 Pd
```

Q: Which of them is the most stable? A: (A).

(A)
The following is a DFT calculation (PBE) of an optimized crystal structure of TcIrPd3.

Structure (POSCAR):
```
TcIrPd3
1.0
-3.625 -1.582 2.479
0.512 -4.214 -1.940
2.895 -1.235 3.447
Ir Tc Pd
1 1 3
Direct
0.500 0.500 0.500 Ir
0.000 0.000 0.000 Tc
0.000 0.000 0.500 Pd
0.000 0.500 0.000 Pd
0.500 0.000 0.000 Pd
```

(B)
The following is a DFT calculation (PBE) of an optimized crystal structure of TcIrPd3.

Structure (POSCAR):
```
TcIrPd3
1.0
-1.366 -0.925 4.513
1.337 -4.585 -0.535
4.409 1.103 1.561
Pd Ir Tc
3 1 1
Direct
0.000 0.000 0.500 Pd
0.500 0.000 0.000 Pd
0.000 0.500 0.000 Pd
0.000 0.000 0.000 Ir
0.500 0.500 0.500 Tc
```

Q: Which of them is the most stable? A: (B).

(A)
The following is a DFT calculation (PBE) of an optimized crystal structure of Tc2IrPd2.

Structure (POSCAR):
```
Tc2IrPd2
1.0
7.404 0.000 0.000
0.000 7.404 0.000
0.000 0.000 2.795
Tc Pd Ir
4 4 2
Direct
0.176 0.676 0.500 Tc
0.824 0.324 0.500 Tc
0.676 0.824 0.500 Tc
0.324 0.176 0.500 Tc
0.123 0.377 0.000 Pd
0.877 0.623 0.000 Pd
0.623 0.123 0.000 Pd
0.377 0.877 0.000 Pd
0.500 0.500 0.000 Ir
0.000 0.000 0.000 Ir
```

(B)
The following is a DFT calculation (PBE) of an optimized crystal structure of Tc2IrPd2.

Structure (POSCAR):
```
Tc2IrPd2
1.0
3.477 0.000 0.000
0.000 3.477 0.000
1.739 1.739 6.704
Pd Ir Tc
2 1 2
Direct
0.597 0.597 0.806 Pd
0.403 0.403 0.194 Pd
0.000 0.000 0.000 Ir
0.750 0.250 0.500 Tc
0.250 0.750 0.500 Tc
```

Q: Which of them is the most stable? A: (A).